1.
# SCAN Cs2YAgF6, PBEsol geometry
# - Formation energy without anion corrections: -3074 kJ/mol of formula units
# - DFT total energy: -18.793 eV/atom
data_Cs2YAgF6
_chemical_formula_sum 'Cs8 Y4 Ag4 F24'
_symmetry_space_group_name_H-M 'F m -3 m'
_symmetry_Int_Tables_number 225
_symmetry_space_group_name_Hall '-F 4 2 3'
_cell_length_a 9.1506
_cell_length_b 9.1506
_cell_length_c 9.1506
_cell_angle_alpha 90.00
_cell_angle_beta 90.00
_cell_angle_gamma 90.00
loop_
_atom_site_label
_atom_site_fract_x
_atom_site_fract_y
_atom_site_fract_z
Cs1 0.2500 0.2500 0.2500
Y1 0.0000 0.0000 0.0000
Ag1 0.0000 0.0000 0.5000
F1 0.0000 0.0000 0.2355

2.
# SCAN Mg2ZnIr, PBEsol geometry
# - DFT total energy: -23.996 eV/atom
data_Mg2ZnIr
_chemical_formula_sum 'Mg4 Zn2 Ir2'
_symmetry_space_group_name_H-M 'C m m m'
_symmetry_Int_Tables_number 65
_symmetry_space_group_name_Hall '-C 2 2'
_cell_length_a 6.2422
_cell_length_b 6.2545
_cell_length_c 3.1661
_cell_angle_alpha 90.00
_cell_angle_beta 90.00
_cell_angle_gamma 90.00
loop_
_atom_site_label
_atom_site_fract_x
_atom_site_fract_y
_atom_site_fract_z
Mg1 0.2500 0.2500 0.0000
Zn1 0.0000 0.0000 0.5000
Ir1 0.0000 0.5000 0.5000

3.
# SCAN Cu2NiRu, PBEsol geometry
# - DFT total energy: -20.111 eV/atom
# - Energy above the most stable polymorph in this dataset: 0.084 eV per atom
data_Cu2NiRu
_chemical_formula_sum 'Cu2 Ni1 Ru1'
_symmetry_space_group_name_H-M 'P 1 2/m 1'
_symmetry_Int_Tables_number 10
_cell_length_a 2.4536
_cell_length_b 4.2344
_cell_length_c 4.5329
_cell_angle_alpha 90.00
_cell_angle_beta 94.12
_cell_angle_gamma 90.00
loop_
_symmetry_equiv_pos_as_xyz
'x,y,z'
'-x,-y,-z'
'-x,y,-z'
'x,-y,z'
loop_
_atom_site_label
_atom_site_fract_x
_atom_site_fract_y
_atom_site_fract_z
Cu1 0.1997 0.0000 0.2557
Ni1 0.0000 0.5000 0.5000
Ru1 0.5000 0.5000 0.0000

Total magnetic moment values, unit μB/atom, following the record order: 0.010, 0.000, 0.256.